(1)
# ErLuSn | OQMD via LeMat-Bulk | GGA-PBE | relaxed
# Magnetic moment ... 0.022 μB/f.u.
# E ... -43.81 eV/cell
data_ErLuSn
_cell_length_a 8.1852
_cell_length_b 8.1852
_cell_length_c 4.3013
_cell_angle_alpha 90.00
_cell_angle_beta 90.00
_cell_angle_gamma 120.00
_symmetry_space_group_name_H-M 'P -6 2 m'
_symmetry_Int_Tables_number 189
_symmetry_space_group_name_Hall 'P -6 -2'
loop_
_atom_site_label
_atom_site_fract_x
_atom_site_fract_y
_atom_site_fract_z
_atom_site_occupancy
Er1 0.0000 0.2671 0.0000 1
Lu1 0.0000 0.6000 0.5000 1
Sn1 0.0000 0.0000 0.5000 1
Sn2 0.3333 0.6667 0.0000 1

(2)
# ErLuZn2Sn2 | OQMD via LeMat-Bulk | GGA-PBE | relaxed
# Magnetic moment ... 0.002 μB/f.u.
# E ... -45.53 eV/cell
data_ErLuZn2Sn2
_cell_length_a 4.4733
_cell_length_b 4.4733
_cell_length_c 15.5774
_cell_angle_alpha 90.00
_cell_angle_beta 90.00
_cell_angle_gamma 120.00
_symmetry_space_group_name_H-M 'P 63/m m c'
_symmetry_Int_Tables_number 194
_symmetry_space_group_name_Hall '-P 6c 2c'
loop_
_atom_site_label
_atom_site_fract_x
_atom_site_fract_y
_atom_site_fract_z
_atom_site_occupancy
Er1 0.0000 0.0000 0.0000 1
Lu1 0.0000 0.0000 0.2500 1
Zn1 0.3333 0.6667 0.1618 1
Sn1 0.3333 0.6667 0.6130 1